No. 1
# TaTi2CrH, optimized geometry, DFT GGA-PBE
data_TaTi2CrH
_chemical_formula_sum 'Ta1 Ti2 Cr1 H1'
_cell_length_a 3.8041
_cell_length_b 3.8041
_cell_length_c 4.5327
_cell_angle_alpha 90.00
_cell_angle_beta 90.00
_cell_angle_gamma 90.00
_space_group_name_H-M_alt 'P 1'
_space_group_IT_number 1
_space_group_name_Hall 'P 1'
loop_
_atom_site_label
_atom_site_fract_x
_atom_site_fract_y
_atom_site_fract_z
Cr1 0.0000 0.0000 0.5000
Ta1 0.5000 0.5000 0.5000
H1 0.0000 0.0000 0.0000
Ti1 0.5000 0.0000 0.0000
Ti2 0.0000 0.5000 0.0000
# SG   P4/mmm (123)
# Total DFT energy (no corrections)   -8.06 eV per atom
# Energy relative to the lowest polymorph listed for this composition   8 meV/atom

---

No. 2
# TaTi2CrH, optimized geometry, DFT GGA-PBE
data_TaTi2CrH
_chemical_formula_sum 'Ta1 Ti2 Cr1 H1'
_cell_length_a 3.7872
_cell_length_b 3.7872
_cell_length_c 4.5875
_cell_angle_alpha 90.00
_cell_angle_beta 90.00
_cell_angle_gamma 90.00
_space_group_name_H-M_alt 'P 1'
_space_group_IT_number 1
_space_group_name_Hall 'P 1'
loop_
_atom_site_label
_atom_site_fract_x
_atom_site_fract_y
_atom_site_fract_z
Ti1 0.5000 0.0000 0.0000
Ti2 0.0000 0.5000 0.0000
Cr1 0.5000 0.5000 0.5000
Ta1 0.0000 0.0000 0.5000
H1 0.0000 0.0000 0.0000
# SG   P4/mmm (123)
# Total DFT energy (no corrections)   -8.07 eV per atom
# Energy relative to the lowest polymorph listed for this composition   0 meV/atom

---

No. 3
# TaTlCrH2, optimized geometry, DFT GGA-PBE
data_TaTlCrH2
_chemical_formula_sum 'Ta1 Tl1 Cr1 H2'
_cell_length_a 3.6526
_cell_length_b 5.9215
_cell_length_c 3.6526
_cell_angle_alpha 90.00
_cell_angle_beta 90.00
_cell_angle_gamma 90.00
_space_group_name_H-M_alt 'P 1'
_space_group_IT_number 1
_space_group_name_Hall 'P 1'
loop_
_atom_site_label
_atom_site_fract_x
_atom_site_fract_y
_atom_site_fract_z
H1 0.0000 0.0000 0.5000
H2 0.5000 0.0000 0.0000
Ta1 0.5000 0.5000 0.5000
Cr1 0.0000 0.5000 0.0000
Tl1 0.0000 0.0000 0.0000
# SG   P4/mmm (123)
# Total DFT energy (no corrections)   -4.87 eV per atom

---

No. 4
# Ta2VCrH, optimized geometry, DFT GGA-PBE
data_Ta2VCrH
_chemical_formula_sum 'Ta2 V1 Cr1 H1'
_cell_length_a 4.4184
_cell_length_b 4.4184
_cell_length_c 3.2710
_cell_angle_alpha 90.00
_cell_angle_beta 90.00
_cell_angle_gamma 90.00
_space_group_name_H-M_alt 'P 1'
_space_group_IT_number 1
_space_group_name_Hall 'P 1'
loop_
_atom_site_label
_atom_site_fract_x
_atom_site_fract_y
_atom_site_fract_z
Ta1 0.0000 0.5000 0.0000
Ta2 0.5000 0.0000 0.0000
Cr1 0.0000 0.0000 0.5000
H1 0.0000 0.0000 0.0000
V1 0.5000 0.5000 0.5000
# SG   P4/mmm (123)
# Total DFT energy (no corrections)   -9.18 eV per atom

---

No. 5
# TaCrHW2, optimized geometry, DFT GGA-PBE
data_TaCrHW2
_chemical_formula_sum 'Ta1 Cr1 H1 W2'
_cell_length_a 3.8416
_cell_length_b 4.4288
_cell_length_c 3.8416
_cell_angle_alpha 90.00
_cell_angle_beta 90.00
_cell_angle_gamma 90.00
_space_group_name_H-M_alt 'P 1'
_space_group_IT_number 1
_space_group_name_Hall 'P 1'
loop_
_atom_site_label
_atom_site_fract_x
_atom_site_fract_y
_atom_site_fract_z
W1 0.5000 0.0000 0.0000
W2 0.0000 0.0000 0.5000
Ta1 0.5000 0.5000 0.5000
H1 0.0000 0.0000 0.0000
Cr1 0.0000 0.5000 0.0000
# SG   P4/mmm (123)
# Total DFT energy (no corrections)   -9.85 eV per atom

---

No. 6
# Tb12Cr3H5, optimized geometry, DFT GGA-PBE
data_Tb12Cr3H5
_chemical_formula_sum 'Tb48 Cr12 H20'
_cell_length_a 13.2953
_cell_length_b 13.2953
_cell_length_c 13.2953
_cell_angle_alpha 109.47
_cell_angle_beta 109.47
_cell_angle_gamma 109.47
_space_group_name_H-M_alt 'P 1'
_space_group_IT_number 1
_space_group_name_Hall 'P 1'
loop_
_atom_site_label
_atom_site_fract_x
_atom_site_fract_y
_atom_site_fract_z
Cr1 0.2500 0.6250 0.8750
Cr2 0.8750 0.1250 0.2500
Cr3 0.7500 0.8750 0.6250
Cr4 0.6250 0.3750 0.7500
Cr5 0.8750 0.7500 0.1250
Cr6 0.6250 0.2500 0.3750
Cr7 0.1250 0.8750 0.7500
Cr8 0.7500 0.3750 0.1250
Cr9 0.3750 0.6250 0.2500
Cr10 0.2500 0.1250 0.3750
Cr11 0.3750 0.7500 0.6250
Cr12 0.1250 0.2500 0.8750
Tb1 0.7896 0.4799 0.3834
Tb2 0.4035 0.0201 0.3097
Tb3 0.0965 0.9062 0.1166
Tb4 0.9799 0.5965 0.1903
Tb5 0.4799 0.7896 0.8834
Tb6 0.3097 0.5201 0.4035
Tb7 0.0938 0.1903 0.2104
Tb8 0.8834 0.5938 0.9035
Tb9 0.5201 0.3097 0.9035
Tb10 0.7104 0.5938 0.1903
Tb11 0.4062 0.2896 0.3097
Tb12 0.8097 0.9062 0.2896
Tb13 0.0201 0.4035 0.8097
Tb14 0.8834 0.2896 0.4799
Tb15 0.3834 0.4035 0.0938
Tb16 0.7104 0.1166 0.0201
Tb17 0.8097 0.9035 0.0201
Tb18 0.9035 0.0938 0.8834
Tb19 0.1903 0.0938 0.7104
Tb20 0.9035 0.8097 0.5201
Tb21 0.1166 0.4062 0.0965
Tb22 0.3097 0.7896 0.4062
Tb23 0.2896 0.4062 0.8097
Tb24 0.2104 0.6903 0.0938
Tb25 0.6166 0.0201 0.2104
Tb26 0.0938 0.9035 0.3834
Tb27 0.7896 0.3097 0.9062
Tb28 0.9062 0.8097 0.7896
Tb29 0.5965 0.9799 0.6903
Tb30 0.4062 0.1166 0.5965
Tb31 0.5201 0.2104 0.1166
Tb32 0.1903 0.0965 0.9799
Tb33 0.2896 0.8834 0.9799
Tb34 0.4799 0.6903 0.0965
Tb35 0.6903 0.4799 0.5965
Tb36 0.5938 0.8834 0.4035
Tb37 0.6903 0.2104 0.5938
Tb38 0.5965 0.6166 0.4062
Tb39 0.0965 0.1903 0.4799
Tb40 0.1166 0.7104 0.5201
Tb41 0.6166 0.5965 0.9062
Tb42 0.2104 0.5201 0.6166
Tb43 0.0201 0.6166 0.7104
Tb44 0.3834 0.9799 0.7896
Tb45 0.9799 0.3834 0.2896
Tb46 0.4035 0.3834 0.5938
Tb47 0.5938 0.7104 0.6903
Tb48 0.9062 0.0965 0.6166
H1 0.0000 0.0000 0.5000
H2 0.8750 0.2500 0.6250
H3 0.1250 0.7500 0.3750
H4 0.5000 0.0000 0.5000
H5 0.8750 0.6250 0.7500
H6 0.0000 0.5000 0.0000
H7 0.2500 0.8750 0.1250
H8 0.5000 0.5000 0.0000
H9 0.0000 0.0000 0.0000
H10 0.2500 0.3750 0.6250
H11 0.7500 0.1250 0.8750
H12 0.3750 0.1250 0.7500
H13 0.0000 0.5000 0.5000
H14 0.1250 0.3750 0.2500
H15 0.3750 0.2500 0.1250
H16 0.6250 0.8750 0.2500
H17 0.5000 0.0000 0.0000
H18 0.6250 0.7500 0.8750
H19 0.7500 0.6250 0.3750
H20 0.5000 0.5000 0.5000
# SG   Ia-3d (230)
# Total DFT energy (no corrections)   -5.04 eV per atom